No. 1
Computed, not measured: a relaxed La4Nd6Sm crystal at the PBE level of DFT.

Calculated values
E = -4.557 eV/atom
Fermi-level density of states = 17.27 states/eV/cell
ΔE to the lowest computed polymorph = 1.7 kJ per mole of atoms
Energy of formation = 0.264 eV per atom

Cell: 9.6980 9.6980 9.6980 Å, 61.12 137.86 137.86°
Last column: nearest neighbours and their distance in Å.
Fractional coordinates of all 11 atoms:
Nd 0.5000 0.0000 0.5000  4 Nd 3.22, 2 Sm 3.49
Nd 0.0000 0.7812 0.4459  3 Nd 3.22-3.31, 1 La 3.46
Nd 0.0000 0.4459 0.7812  3 Nd 3.22-3.31, 1 La 3.46
Nd 0.3353 0.5541 0.5541  3 Nd 3.22-3.31, 1 La 3.46
Nd 0.5000 0.5000 0.0000  4 Nd 3.22, 2 Sm 3.49
Nd 0.6647 0.2188 0.2188  3 Nd 3.22-3.31, 1 La 3.46
La 0.0000 0.0080 0.6325  3 Nd 3.46-3.67, 1 Sm 3.53, 1 La 3.70
La 0.3755 0.3675 0.3675  3 Nd 3.46-3.67, 1 Sm 3.53, 1 La 3.70
La 0.0000 0.6325 0.0080  3 Nd 3.46-3.67, 1 Sm 3.53, 1 La 3.70
La 0.6245 0.9920 0.9920  3 Nd 3.46-3.67, 1 Sm 3.53, 1 La 3.70
Sm 0.0000 0.0000 0.0000  8 Nd 3.49-3.79, 4 La 3.53

=====

No. 2
Computed, not measured: a relaxed LaNd3Sm7 crystal at the PBE level of DFT.

Calculated values
E = -4.532 eV/atom
Fermi-level density of states = 16.75 states/eV/cell
ΔE to the lowest computed polymorph = 1.5 kJ per mole of atoms
Energy of formation = 0.219 eV per atom

Cell: 5.9868 8.6076 8.6076 Å, 83.35 110.36 110.36°
Last column: nearest neighbours and their distance in Å.
Fractional coordinates of all 11 atoms:
Nd 0.0000 0.2089 0.7911  5 Sm 3.33-3.51
Nd 0.5000 0.0000 0.0000  4 Sm 3.25
Nd 0.0000 0.7911 0.2089  5 Sm 3.33-3.51
Sm 0.7062 0.4031 0.0097  2 Nd 3.25-3.51, 3 Sm 3.38-3.61
Sm 0.7949 0.7940 0.7940  1 La 3.34, 2 Nd 3.35, 4 Sm 3.61-3.74
Sm 0.7062 0.0097 0.4031  2 Nd 3.25-3.51, 3 Sm 3.38-3.61
Sm 0.2051 0.2060 0.2060  1 La 3.34, 2 Nd 3.35, 4 Sm 3.61-3.74
Sm 0.2938 0.9903 0.5969  2 Nd 3.25-3.51, 3 Sm 3.38-3.61
Sm 0.2938 0.5969 0.9903  2 Nd 3.25-3.51, 3 Sm 3.38-3.61
Sm 0.0000 0.5000 0.5000  2 La 2.99, 2 Nd 3.33
La 0.5000 0.5000 0.5000  4 Sm 2.99-3.34

=====

No. 3
Computed, not measured: a relaxed La9Nd11Sm4 crystal at the PBE level of DFT.

Calculated values
E = -4.772 eV/atom
Fermi-level density of states = 37.93 states/eV/cell
Energy of formation = 0.047 eV per atom

Cell: 3.7297 16.1503 16.1503 Å, 117.14 90.00 90.00°
Last column: nearest neighbours and their distance in Å.
Fractional coordinates of all 24 atoms:
Nd 0.0000 0.0000 0.0000  8 La 3.67, 4 Nd 3.73-3.74
Nd 0.0000 0.8146 0.1854  4 Nd 3.68-3.73, 8 La 3.68-3.70
Nd 0.0000 0.7781 0.7781  4 Sm 3.57, 4 La 3.67, 3 Nd 3.73-3.74
Nd 0.0000 0.3789 0.6211  4 Sm 3.55, 2 Nd 3.73, 6 La 3.74-3.82
Nd 0.0000 0.1854 0.8146  4 Nd 3.68-3.73, 8 La 3.68-3.70
Nd 0.0000 0.4020 0.0347  6 La 3.61-3.76, 4 Nd 3.68-3.81, 2 Sm 3.70
Nd 0.0000 0.0347 0.4020  6 La 3.61-3.76, 4 Nd 3.68-3.81, 2 Sm 3.70
Nd 0.0000 0.2219 0.2219  4 Sm 3.57, 4 La 3.67, 3 Nd 3.73-3.74
Nd 0.0000 0.5980 0.9653  6 La 3.61-3.76, 4 Nd 3.68-3.81, 2 Sm 3.70
Nd 0.0000 0.9653 0.5980  6 La 3.61-3.76, 4 Nd 3.68-3.81, 2 Sm 3.70
Nd 0.0000 0.6211 0.3789  4 Sm 3.55, 2 Nd 3.73, 6 La 3.74-3.82
La 0.5000 0.0188 0.2039  8 Nd 3.61-3.68, 1 Sm 3.65, 3 La 3.73-3.75
La 0.5000 0.8264 0.3885  8 Nd 3.61-3.76, 3 La 3.62-3.73, 1 Sm 3.74
La 0.5000 0.7961 0.9812  8 Nd 3.61-3.68, 1 Sm 3.65, 3 La 3.73-3.75
La 0.5000 0.9812 0.7961  8 Nd 3.61-3.68, 1 Sm 3.65, 3 La 3.73-3.75
La 0.5000 0.6115 0.1736  8 Nd 3.61-3.76, 3 La 3.62-3.73, 1 Sm 3.74
La 0.5000 0.3885 0.8264  8 Nd 3.61-3.76, 3 La 3.62-3.73, 1 Sm 3.74
La 0.5000 0.5000 0.5000  2 La 3.73, 4 Sm 3.80, 4 Nd 3.82
La 0.5000 0.1736 0.6115  8 Nd 3.61-3.76, 3 La 3.62-3.73, 1 Sm 3.74
La 0.5000 0.2039 0.0188  8 Nd 3.61-3.68, 1 Sm 3.65, 3 La 3.73-3.75
Sm 0.5000 0.5826 0.7610  6 Nd 3.55-3.70, 3 La 3.65-3.80, 2 Sm 3.73
Sm 0.5000 0.7610 0.5826  6 Nd 3.55-3.70, 3 La 3.65-3.80, 2 Sm 3.73
Sm 0.5000 0.4174 0.2390  6 Nd 3.55-3.70, 3 La 3.65-3.80, 2 Sm 3.73
Sm 0.5000 0.2390 0.4174  6 Nd 3.55-3.70, 3 La 3.65-3.80, 2 Sm 3.73

=====

No. 4
Computed, not measured: a relaxed La2Nd2Sm7 crystal at the PBE level of DFT.

Calculated values
E = -4.631 eV/atom
Fermi-level density of states = 17.54 states/eV/cell
ΔE to the lowest computed polymorph = 0.0 kJ per mole of atoms
Energy of formation = 0.135 eV per atom

Cell: 8.2498 10.6636 8.2498 Å, 126.03 88.29 53.97°
Last column: nearest neighbours and their distance in Å.
Fractional coordinates of all 11 atoms:
La 0.7839 0.3134 0.2161  7 Sm 3.53-3.87, 2 La 3.64-3.81, 2 Nd 3.86
La 0.2161 0.6866 0.7839  7 Sm 3.53-3.87, 2 La 3.64-3.81, 2 Nd 3.86
Sm 0.7574 0.6745 0.7605  5 Sm 3.31-3.69, 2 Nd 3.38-3.53, 1 La 3.70
Sm 0.3404 0.9267 0.6596  5 Sm 3.42-3.66, 2 La 3.53-3.66, 2 Nd 3.57
Sm 0.2395 0.6745 0.2426  5 Sm 3.31-3.69, 2 Nd 3.38-3.53, 1 La 3.70
Sm 0.2426 0.3255 0.2395  5 Sm 3.31-3.69, 2 Nd 3.38-3.53, 1 La 3.70
Sm 0.7605 0.3255 0.7574  5 Sm 3.31-3.69, 2 Nd 3.38-3.53, 1 La 3.70
Sm 0.6596 0.0733 0.3404  5 Sm 3.42-3.66, 2 La 3.53-3.66, 2 Nd 3.57
Sm 0.0000 0.5000 0.0000  6 Sm 3.40-3.50
Nd 0.2875 0.0000 0.2875  6 Sm 3.38-3.57
Nd 0.7125 0.0000 0.7125  6 Sm 3.38-3.57

=====

No. 5
Computed, not measured: a relaxed La5Nd2Sm3 crystal at the PBE level of DFT.

Calculated values
E = -4.684 eV/atom
Fermi-level density of states = 35.66 states/eV/cell
ΔE to the lowest computed polymorph = 0.0 kJ per mole of atoms
Energy of formation = 0.150 eV per atom

Cell: 10.2972 10.2830 9.3360 Å, 108.95 109.01 114.19°
Last column: nearest neighbours and their distance in Å.
Fractional coordinates of all 20 atoms:
Sm 0.2679 0.0179 0.0358  1 La 3.08, 2 Nd 3.41
Sm 0.4734 0.5285 0.7508  1 Nd 3.32, 5 La 3.45-3.64, 1 Sm 3.63
Sm 0.7321 0.9821 0.9642  1 La 3.08, 2 Nd 3.41
Sm 0.2227 0.7778 0.2492  1 Nd 3.32, 5 La 3.45-3.64, 1 Sm 3.63
Sm 0.5266 0.4715 0.2492  1 Nd 3.32, 5 La 3.45-3.64, 1 Sm 3.63
Sm 0.7773 0.2222 0.7508  1 Nd 3.32, 5 La 3.45-3.64, 1 Sm 3.63
Nd 0.2828 0.7217 0.7539  3 Sm 3.32-3.60, 4 La 3.45-3.62
Nd 0.0288 0.9678 0.2461  3 Sm 3.32-3.60, 4 La 3.45-3.62
Nd 0.9712 0.0322 0.7539  3 Sm 3.32-3.60, 4 La 3.45-3.62
Nd 0.7172 0.2783 0.2461  3 Sm 3.32-3.60, 4 La 3.45-3.62
La 0.6195 0.8737 0.2445  3 Sm 3.50-3.86, 3 La 3.55-3.61, 2 Nd 3.85-3.91
La 0.7746 0.5246 0.0492  1 La 3.10, 2 Sm 3.45
La 0.4741 0.2241 0.4482  1 Sm 3.08
La 0.5259 0.7759 0.5518  1 Sm 3.08
La 0.3805 0.1263 0.7555  3 Sm 3.50-3.86, 3 La 3.55-3.61, 2 Nd 3.85-3.91
La 0.1250 0.3708 0.2445  3 Sm 3.50-3.86, 3 La 3.55-3.61, 2 Nd 3.85-3.91
La 0.8750 0.6292 0.7555  3 Sm 3.50-3.86, 3 La 3.55-3.61, 2 Nd 3.85-3.91
La 0.2254 0.4754 0.9508  1 La 3.10, 2 Sm 3.45
La 0.0182 0.2682 0.5364  1 La 3.10, 2 Nd 3.45
La 0.9818 0.7318 0.4636  1 La 3.10, 2 Nd 3.45

=====

No. 6
Computed, not measured: a relaxed La2NdSm crystal at the PBE level of DFT.

Calculated values
E = -4.825 eV/atom
Fermi-level density of states = 6.24 states/eV/cell
ΔE to the lowest computed polymorph = 0.0 kJ per mole of atoms
Energy of formation = 0.010 eV per atom

Cell: 3.7078 3.7078 12.1981 Å, 81.26 81.26 60.00°
Last column: nearest neighbours and their distance in Å.
Fractional coordinates of all 4 atoms:
Nd 0.5000 0.5000 0.5000  6 La 3.70, 6 Nd 3.71
La 0.7494 0.7494 0.7517  3 Sm 3.67, 3 Nd 3.70, 6 La 3.71
La 0.2506 0.2506 0.2483  3 Sm 3.67, 3 Nd 3.70, 6 La 3.71
Sm 0.0000 0.0000 0.0000  6 La 3.67, 6 Sm 3.71